VASP calculation (SCAN) on a crystal of Sr2Ag relaxed with PBEsol.

a = 3.9223 Å, b = 5.7655 Å, c = 9.7202 Å
α = 90.00°, β = 101.64°, γ = 90.00°
With the nearest neighbours (Å) after each atom.
Fractional coordinates of all 6 atoms:
Sr  0.4303  0.2500  0.8607  6 Ag 3.26-3.49
Sr  0.5697  0.7500  0.1393  6 Ag 3.26-3.49
Sr  0.7020  0.2500  0.4041  2 Ag 3.23
Sr  0.2980  0.7500  0.5959  2 Ag 3.23
Ag  0.0672  0.2500  0.1345  8 Sr 3.23-3.49
Ag  0.9328  0.7500  0.8655  8 Sr 3.23-3.49

Output
energy relative to the lowest polymorph listed for this composition	0.072	eV per atom
DFT formation energy	-0.132	eV/atom